Entry from Alexandria: crystalline KMn2VO at its relaxed geometry (PBE+U).

The structure in CIF format:
```
data_KMn2VO
_cell_length_a 4.9439
_cell_length_b 4.9439
_cell_length_c 6.7584
_cell_angle_alpha 90.00
_cell_angle_beta 90.00
_cell_angle_gamma 90.00
_symmetry_space_group_name_H-M 'P 4/m m m'
_symmetry_Int_Tables_number 123
_symmetry_space_group_name_Hall '-P 4 2'
loop_
_atom_site_label
_atom_site_fract_x
_atom_site_fract_y
_atom_site_fract_z
K1 0.0000 0.0000 0.0000
Mn1 0.0000 0.5000 0.5000
V1 0.0000 0.0000 0.5000
O1 0.5000 0.5000 0.0000
```

Results
crystal system = tetragonal
calculated total energy = -21.83 eV/cell
V = 33.0 Å³/atom
Fermi-level density of states = 0.4659 states/eV/atom